GaTeCI2: PBEsol geometry, meta-GGA SCAN.

abc: 5.1373 5.1373 4.7328
angles: 90.00 90.00 90.00
Atoms (fractional coordinates):
Ga (0.0000, 0.0000, 0.0000)
Te (0.5000, 0.5000, 0.0000)
C (0.5000, 0.5000, 0.5000)
I (0.0000, 0.5000, 0.5000)
I (0.5000, 0.0000, 0.5000)

Summary:
The total DFT energy (no corrections) comes out at -26.404 eV per atom. As for the calculated density: 6157 kg/m3.

GaTeCI2: PBEsol geometry, meta-GGA SCAN.

abc: 5.4637 5.4637 5.3794
angles: 90.00 90.00 90.00
Atoms (fractional coordinates):
Ga (0.0000, 0.0000, 0.0000)
Te (0.0000, 0.0000, 0.5000)
C (0.5000, 0.5000, 0.5000)
I (0.0000, 0.5000, 0.0000)
I (0.5000, 0.0000, 0.0000)

Summary:
The total DFT energy (no corrections) comes out at -25.886 eV per atom. As for the calculated density: 4789 kg/m3.

GaIr2RuC: PBEsol geometry, meta-GGA SCAN.

abc: 4.7502 4.7502 3.7255
angles: 90.00 90.00 90.00
Atoms (fractional coordinates):
Ga (0.0000, 0.0000, 0.0000)
Ir (0.0000, 0.5000, 0.5000)
Ir (0.5000, 0.0000, 0.5000)
Ru (0.5000, 0.5000, 0.5000)
C (0.5000, 0.5000, 0.0000)

Summary:
The total DFT energy (no corrections) comes out at -38.933 eV per atom. As for the calculated density: 11205 kg/m3.

TaGaIrC2: PBEsol geometry, meta-GGA SCAN.

abc: 3.7964 3.7964 5.1332
angles: 90.00 90.00 90.00
Atoms (fractional coordinates):
Ta (0.0000, 0.0000, 0.0000)
Ga (0.0000, 0.0000, 0.5000)
Ir (0.5000, 0.5000, 0.0000)
C (0.0000, 0.5000, 0.5000)
C (0.5000, 0.0000, 0.5000)

Summary:
The total DFT energy (no corrections) comes out at -32.450 eV per atom. As for the calculated density: 10480 kg/m3.

KGa3C: PBEsol geometry, meta-GGA SCAN.

abc: 5.6882 5.6882 5.6882
angles: 90.00 90.00 90.00
Atoms (fractional coordinates):
K (0.0000, 0.0000, 0.0000)
Ga (0.0000, 0.0000, 0.5000)
Ga (0.0000, 0.5000, 0.0000)
Ga (0.5000, 0.0000, 0.0000)
C (0.5000, 0.5000, 0.5000)

Summary:
The total DFT energy (no corrections) comes out at -11.042 eV per atom. As for the calculated density: 2348 kg/m3.

K2ZnGaC: PBEsol geometry, meta-GGA SCAN.

abc: 6.0906 6.0906 3.6353
angles: 90.00 90.00 90.00
Atoms (fractional coordinates):
K (0.0000, 0.5000, 0.0000)
K (0.5000, 0.0000, 0.0000)
Zn (0.0000, 0.0000, 0.5000)
Ga (0.5000, 0.5000, 0.5000)
C (0.5000, 0.5000, 0.0000)

Summary:
The total DFT energy (no corrections) comes out at -10.795 eV per atom. As for the calculated density: 2775 kg/m3.

LaGaPdC2: PBEsol geometry, meta-GGA SCAN.

abc: 3.9478 3.9478 5.7174
angles: 90.00 90.00 90.00
Atoms (fractional coordinates):
La (0.0000, 0.0000, 0.0000)
Ga (0.0000, 0.0000, 0.5000)
Pd (0.5000, 0.5000, 0.0000)
C (0.0000, 0.5000, 0.5000)
C (0.5000, 0.0000, 0.5000)

Summary:
The total DFT energy (no corrections) comes out at -20.880 eV per atom. As for the calculated density: 6319 kg/m3.

LiGaPC2: PBEsol geometry, meta-GGA SCAN.

abc: 3.6809 3.6809 4.4387
angles: 90.00 90.00 90.00
Atoms (fractional coordinates):
Li (0.0000, 0.0000, 0.0000)
Ga (0.5000, 0.5000, 0.5000)
P (0.0000, 0.0000, 0.5000)
C (0.0000, 0.5000, 0.0000)
C (0.5000, 0.0000, 0.0000)

Summary:
The total DFT energy (no corrections) comes out at -7.646 eV per atom. As for the calculated density: 3635 kg/m3.

MgGaC2: PBEsol geometry, meta-GGA SCAN.

abc: 6.7435 6.7435 6.7435
angles: 144.47 144.47 51.12
Atoms (fractional coordinates):
Mg (0.0000, 0.0000, 0.0000)
Mg (0.7500, 0.2500, 0.5000)
Ga (0.2500, 0.7500, 0.5000)
Ga (0.5000, 0.5000, 0.0000)
C (0.2272, 0.6250, 0.1022)
C (0.3750, 0.4772, 0.6022)
C (0.5228, 0.1250, 0.8978)
C (0.8750, 0.7728, 0.3978)

Summary:
The total DFT energy (no corrections) comes out at -9.229 eV per atom. As for the calculated density: 3806 kg/m3.

Ga2C3N6: PBEsol geometry, meta-GGA SCAN.

abc: 9.8443 9.8443 9.8443
angles: 32.99 32.99 32.99
Atoms (fractional coordinates):
Ga (0.1641, 0.1641, 0.1641)
Ga (0.3359, 0.3359, 0.3359)
Ga (0.6641, 0.6641, 0.6641)
Ga (0.8359, 0.8359, 0.8359)
C (0.0594, 0.7500, 0.4406)
C (0.2500, 0.5594, 0.9406)
C (0.4406, 0.0594, 0.7500)
C (0.5594, 0.9406, 0.2500)
C (0.7500, 0.4406, 0.0594)
C (0.9406, 0.2500, 0.5594)
N (0.0389, 0.6501, 0.4324)
N (0.0676, 0.8499, 0.4611)
N (0.1501, 0.5389, 0.9324)
N (0.3499, 0.5676, 0.9611)
N (0.4324, 0.0389, 0.6501)
N (0.4611, 0.0676, 0.8499)
N (0.5389, 0.9324, 0.1501)
N (0.5676, 0.9611, 0.3499)
N (0.6501, 0.4324, 0.0389)
N (0.8499, 0.4611, 0.0676)
N (0.9324, 0.1501, 0.5389)
N (0.9611, 0.3499, 0.5676)

Summary:
The total DFT energy (no corrections) comes out at -10.874 eV per atom. As for the calculated density: 3425 kg/m3.

Ga2C3N6: PBEsol geometry, meta-GGA SCAN.

abc: 8.6029 8.6029 5.0811
angles: 96.02 96.02 21.63
Atoms (fractional coordinates):
Ga (0.1701, 0.1701, 0.0862)
Ga (0.8299, 0.8299, 0.9138)
C (0.0000, 0.0000, 0.0000)
C (0.3167, 0.3167, 0.4073)
C (0.6833, 0.6833, 0.5927)
N (0.0673, 0.0673, 0.9334)
N (0.2937, 0.2937, 0.1645)
N (0.3339, 0.3339, 0.6449)
N (0.6661, 0.6661, 0.3551)
N (0.7063, 0.7063, 0.8355)
N (0.9327, 0.9327, 0.0666)

Summary:
The total DFT energy (no corrections) comes out at -10.766 eV per atom. As for the calculated density: 3127 kg/m3.

GaCN2O: PBEsol geometry, meta-GGA SCAN.

abc: 2.9299 2.9299 5.8012
angles: 90.00 90.00 90.00
Atoms (fractional coordinates):
Ga (0.0000, 0.0000, 0.0000)
C (0.5000, 0.5000, 0.5000)
N (0.0000, 0.5000, 0.5000)
N (0.5000, 0.0000, 0.5000)
O (0.5000, 0.5000, 0.0000)

Summary:
The total DFT energy (no corrections) comes out at -8.927 eV per atom. As for the calculated density: 4193 kg/m3.

Among the records above, which one has the highest calculated density? GaIr2RuC

Among the records above, which one has the lowest calculated density? KGa3C